Sr3FeB | PBE-GGA | optimized geometry

a = 5.5171 Å, b = 5.5171 Å, c = 5.5171 Å
α = 90.00°, β = 90.00°, γ = 90.00°
Last column: magnetic moment on the atom in μB.
Fractional coordinates of all 5 atoms:
Sr 0.0000 0.5000 0.0000  -0.01
Sr 0.0000 0.0000 0.5000  -0.01
Sr 0.5000 0.0000 0.0000  -0.01
B 0.0000 0.0000 0.0000  -0.07
Fe 0.5000 0.5000 0.5000  0.11

Computed properties:
Symmetry   Pm-3m, No. 221
Calculated volume   167.9 Å³/f.u.
Final energy   -14.89 eV per cell
M_tot   0.1 μB/cell